Density functional theory data (GGA-PBE) for a relaxed structure of CoSnAu.

## Properties
Fermi-level density of states (states/eV/atom): 0.8214
Total energy (Ry per atom): -0.336
Total magnetic moment (μB per formula unit): 0.9

Cell: 4.7798 4.7798 4.7798 Å, 139.10 127.51 68.61°
Closest atoms and distances in Å follow each position.
Positions (direct):
Co 0.0000 0.0000 0.0000  4 Sn 2.71-2.79, 4 Au 2.72
Sn 0.2701 0.7701 0.5000  4 Co 2.71-2.79, 4 Au 2.73-2.78
Au 0.5513 0.5513 0.0000  4 Co 2.72, 4 Sn 2.73-2.78